The following is a DFT calculation (PBE-GGA) of a geometry-optimized AcTbPrEr structure.

Summary:
The calculation puts the energy above the most stable polymorph in this dataset at 0 meV/atom. The calculation puts the energy relative to the elements at 52 meV per atom. Its total magnetic moment is 0.00 μB/f.u.

a b c (Å): 3.7176 3.7176 10.3477
angles (deg): 90.00 90.00 90.00
Sites, in units of the cell vectors:
Ac  0.0000  0.0000  0.0000
Tb  0.5000  0.5000  0.2614
Pr  0.5000  0.5000  0.7311
Er  0.0000  0.0000  0.4898